(1)
Entry from Alexandria: crystalline TmTiTlO4 at its relaxed geometry (PBE-GGA).

a b c (Å): 5.9220 5.9907 7.5824
angles (deg): 90.00 108.13 90.00
Positions (direct):
Tm 0.1826 0.2500 0.0456
Tm 0.8174 0.7500 0.9544
Ti 0.2783 0.7500 0.8470
Ti 0.7217 0.2500 0.1530
Tl 0.3109 0.2500 0.5784
Tl 0.6891 0.7500 0.4216
O 0.0614 0.5236 0.8423
O 0.0614 0.9764 0.8423
O 0.4843 0.7500 0.7085
O 0.4992 0.7500 0.0695
O 0.5008 0.2500 0.9305
O 0.5157 0.2500 0.2915
O 0.9386 0.0236 0.1577
O 0.9386 0.4764 0.1577

Output
Symmetry   P2_1/m
Uncorrected energy   -7.626 eV/atom
Formation energy (no corrections)   -2687.9 meV/atom

(2)
Entry from Alexandria: crystalline U3TiTl2O12 at its relaxed geometry (PBE-GGA).

a b c (Å): 7.5599 7.5599 7.5599
angles (deg): 63.34 63.34 63.34
Positions (direct):
U 0.0000 0.5000 0.5000
U 0.5000 0.0000 0.5000
U 0.5000 0.5000 0.0000
Ti 0.5000 0.5000 0.5000
Tl 0.1593 0.1593 0.1593
Tl 0.8407 0.8407 0.8407
O 0.1793 0.1793 0.5499
O 0.1793 0.5499 0.1793
O 0.2012 0.5574 0.5574
O 0.4426 0.4426 0.7988
O 0.4426 0.7988 0.4426
O 0.4501 0.8207 0.8207
O 0.5499 0.1793 0.1793
O 0.5574 0.2012 0.5574
O 0.5574 0.5574 0.2012
O 0.7988 0.4426 0.4426
O 0.8207 0.4501 0.8207
O 0.8207 0.8207 0.4501

Output
Symmetry   R-3m
Uncorrected energy   -8.578 eV/atom
Formation energy (no corrections)   -2689.5 meV/atom